No. 1
The following is a DFT calculation (PBE) of a relaxed structure of Tb3SmAl8.

Unit cell a=5.5853 b=5.5853 c=27.4894 alpha=90.00 beta=90.00 gamma=120.00
Space group R3m (No. 160, hexagonal axes)
Symmetry-distinct sites (fractional):
Tb (0.0000, 0.0000, 0.0000) (multiplicity 3)
Tb (0.0000, 0.0000, 0.1243) (multiplicity 3)
Tb (0.0000, 0.0000, 0.6246) (multiplicity 3)
Sm (0.0000, 0.0000, 0.4997) (multiplicity 3)
Al (0.0000, 0.0000, 0.3123) (multiplicity 3)
Al (0.0000, 0.0000, 0.8120) (multiplicity 3)
Al (0.9996, 0.4998, 0.0617) (multiplicity 9)
Al (0.0002, 0.5001, 0.5626) (multiplicity 9)

Values from the calculation:
ρ in g cm⁻³: 5.65
E above lowest polymorph in kJ/mol of formula units: 0
Energy of formation in eV per atom: -0.5173


No. 2
The following is a DFT calculation (PBE) of a relaxed structure of Th2ScTe2.

Unit cell a=3.8570 b=5.0307 c=31.4898 alpha=90.00 beta=90.00 gamma=90.00
Space group Imma (No. 74)
Symmetry-distinct sites (fractional):
Th (0.0000, 0.2500, 0.0424) (multiplicity 4)
Th (0.0000, 0.2500, 0.7037) (multiplicity 4)
Sc (0.0000, 0.2500, 0.8796) (multiplicity 4)
Te (0.0000, 0.2500, 0.1706) (multiplicity 4)
Te (0.0000, 0.2500, 0.5480) (multiplicity 4)

Values from the calculation:
E_form (uncorrected) in eV/atom: -0.52
ρ in g cm⁻³: 8.31